Record 1
A plane-wave DFT calculation with GGA-PBE was carried out for a geometry-optimized AgRhO2 structure.

Computed properties:
- Symmetry: No. 166

a = 6.5354 Å, b = 6.5354 Å, c = 6.5354 Å
α = 27.29°, β = 27.29°, γ = 27.29°
Last column: nearest neighbours and their distance in Å.
Fractional positions:
1 Ag 0.0000 0.0000 0.0000  2 O 2.12
2 Rh 0.5000 0.5000 0.5000  6 O 2.05
3 O 0.1124 0.1124 0.1124  3 Rh 2.05, 1 Ag 2.12
4 O 0.8876 0.8876 0.8876  3 Rh 2.05, 1 Ag 2.12


Record 2
A plane-wave DFT calculation with GGA-PBE was carried out for a geometry-optimized AgRhO2 structure.

Computed properties:
- Symmetry: No. 194

a = 3.1232 Å, b = 3.1232 Å, c = 12.6387 Å
α = 90.00°, β = 90.00°, γ = 120.00°
Last column: nearest neighbours and their distance in Å.
Fractional positions:
1 Ag 0.3333 0.6667 0.2500  2 O 2.15
2 Ag 0.6667 0.3333 0.7500  2 O 2.15
3 Rh 0.0000 0.0000 0.0000  6 O 2.07
4 Rh 0.0000 0.0000 0.5000  6 O 2.07
5 O 0.3333 0.6667 0.0802  3 Rh 2.07, 1 Ag 2.15
6 O 0.3333 0.6667 0.4198  3 Rh 2.07, 1 Ag 2.15
7 O 0.6667 0.3333 0.5802  3 Rh 2.07, 1 Ag 2.15
8 O 0.6667 0.3333 0.9198  3 Rh 2.07, 1 Ag 2.15


Record 3
A plane-wave DFT calculation with GGA-PBE was carried out for a geometry-optimized Ag2Rh3O8 structure.

Computed properties:
- Symmetry: No. 12

a = 6.1002 Å, b = 6.1002 Å, c = 5.3329 Å
α = 100.93°, β = 100.93°, γ = 61.12°
Last column: nearest neighbours and their distance in Å.
Fractional positions:
1 Ag 0.2018 0.2018 0.0917  5 O 2.23-2.41
2 Ag 0.7982 0.7982 0.9083  5 O 2.23-2.41
3 Rh 0.2444 0.7556 0.5000  6 O 1.97-2.06
4 Rh 0.5000 0.5000 0.0000  6 O 2.01-2.02
5 Rh 0.7556 0.2444 0.5000  6 O 1.97-2.06
6 O 0.1065 0.1065 0.4267  2 Rh 1.97
7 O 0.1743 0.6156 0.1444  2 Rh 1.99-2.01
8 O 0.3844 0.8257 0.8556  2 Rh 1.99-2.01
9 O 0.4065 0.4065 0.6262  3 Rh 2.02-2.06
10 O 0.5935 0.5935 0.3738  3 Rh 2.02-2.06
11 O 0.6156 0.1743 0.1444  2 Rh 1.99-2.01
12 O 0.8257 0.3844 0.8556  2 Rh 1.99-2.01
13 O 0.8935 0.8935 0.5733  2 Rh 1.97


Record 4
A plane-wave DFT calculation with GGA-PBE was carried out for a geometry-optimized Ag2Rh3O8 structure.

Computed properties:
- Symmetry: No. 12

a = 6.5003 Å, b = 6.5003 Å, c = 5.3326 Å
α = 109.82°, β = 109.82°, γ = 56.95°
Last column: nearest neighbours and their distance in Å.
Fractional positions:
1 Ag 0.1900 0.1900 0.1556  4 O 2.23-2.27
2 Ag 0.8100 0.8100 0.8444  4 O 2.23-2.27
3 Rh 0.2427 0.7573 0.5000  6 O 1.95-2.10
4 Rh 0.5000 0.5000 0.0000  6 O 1.97-2.06
5 Rh 0.7573 0.2427 0.5000  6 O 1.95-2.10
6 O 0.1071 0.1071 0.6979  2 Rh 1.97
7 O 0.1820 0.6302 0.7358  2 Rh 1.95-1.97
8 O 0.3698 0.8180 0.2642  2 Rh 1.95-1.97
9 O 0.4016 0.4016 0.2529  3 Rh 2.06-2.10, 1 Ag 2.27
10 O 0.5984 0.5984 0.7471  3 Rh 2.06-2.10, 1 Ag 2.27
11 O 0.6302 0.1820 0.7358  2 Rh 1.95-1.97
12 O 0.8180 0.3698 0.2642  2 Rh 1.95-1.97
13 O 0.8929 0.8929 0.3021  2 Rh 1.97


Record 5
A plane-wave DFT calculation with GGA-PBE was carried out for a geometry-optimized Ag2RhO structure.

Computed properties:
- Symmetry: No. 122

a = 6.4775 Å, b = 6.4775 Å, c = 6.4775 Å
α = 94.83°, β = 94.83°, γ = 146.25°
Last column: nearest neighbours and their distance in Å.
Fractional positions:
1 Ag 0.0094 0.6250 0.8844  2 O 2.53, 2 Ag 2.77
2 Ag 0.3750 0.2594 0.3844  2 O 2.53, 2 Ag 2.77
3 Ag 0.7406 0.1250 0.1156  2 O 2.53, 2 Ag 2.77
4 Ag 0.8750 0.9906 0.6156  2 O 2.53, 2 Ag 2.77
5 Rh 0.2500 0.7500 0.5000  2 O 1.88
6 Rh 0.5000 0.5000 0.0000  2 O 1.88
7 O 0.0000 0.0000 0.0000  2 Rh 1.88
8 O 0.7500 0.2500 0.5000  2 Rh 1.88


Record 6
A plane-wave DFT calculation with GGA-PBE was carried out for a geometry-optimized Ag2Rh2O5 structure.

Computed properties:
- Symmetry: No. 69

a = 6.6269 Å, b = 6.2670 Å, c = 4.5587 Å
α = 73.59°, β = 65.12°, γ = 41.29°
Last column: nearest neighbours and their distance in Å.
Fractional positions:
1 Ag 0.2302 0.2302 0.7698  4 O 2.20-2.39
2 Ag 0.7698 0.7698 0.2302  4 O 2.20-2.39
3 Rh 0.0000 0.0000 0.5000  4 O 2.01
4 Rh 0.5000 0.5000 0.0000  4 O 2.01
5 O 0.0000 0.0000 0.0000  4 Rh 2.28, 4 O 2.50
6 O 0.1667 0.5839 0.4161  2 Rh 2.01, 1 Ag 2.20
7 O 0.4161 0.8333 0.1667  2 Rh 2.01, 1 Ag 2.20
8 O 0.5839 0.1667 0.8333  2 Rh 2.01, 1 Ag 2.20
9 O 0.8333 0.4161 0.5839  2 Rh 2.01, 1 Ag 2.20


Record 7
A plane-wave DFT calculation with GGA-PBE was carried out for a geometry-optimized AgRh3O6 structure.

Computed properties:
- Symmetry: No. 65

a = 6.3408 Å, b = 6.3408 Å, c = 3.1000 Å
α = 90.00°, β = 90.00°, γ = 109.55°
Last column: nearest neighbours and their distance in Å.
Fractional positions:
1 Ag 0.0000 0.0000 0.0000  4 O 2.28
2 Rh 0.0000 0.5000 0.5000  6 O 2.01-2.05
3 Rh 0.5000 0.0000 0.5000  6 O 2.01-2.05
4 Rh 0.5000 0.5000 0.0000  4 O 1.95
5 O 0.1612 0.8388 0.5000  2 Rh 2.05, 2 Ag 2.28
6 O 0.1798 0.4487 0.0000  3 Rh 1.95-2.01
7 O 0.4487 0.1798 0.0000  3 Rh 1.95-2.01
8 O 0.5513 0.8202 0.0000  3 Rh 1.95-2.01
9 O 0.8202 0.5513 0.0000  3 Rh 1.95-2.01
10 O 0.8388 0.1612 0.5000  2 Rh 2.05, 2 Ag 2.28


Record 8
A plane-wave DFT calculation with GGA-PBE was carried out for a geometry-optimized AgRhO2 structure.

Computed properties:
- Symmetry: No. 166

a = 6.9469 Å, b = 6.9469 Å, c = 6.9469 Å
α = 24.82°, β = 24.82°, γ = 24.82°
Last column: nearest neighbours and their distance in Å.
Fractional positions:
1 Ag 0.0000 0.0000 0.0000  6 O 2.31
2 Rh 0.5000 0.5000 0.5000  2 O 1.83
3 O 0.4094 0.4094 0.4094  1 Rh 1.83
4 O 0.5906 0.5906 0.5906  1 Rh 1.83


no.,uncorrected formation energy (eV per atom)
1,-0.517
2,-0.522
3,-0.479
4,-0.480
5,0.242
6,-0.251
7,-0.577
8,-0.060